VASP calculation (PBE) on crystalline TmPaAlHg at its relaxed geometry.

Cell lengths 5.166, 5.166, 5.166 Å; angles 60.00, 60.00, 60.00 degrees
Each line ends with the local moment (μB).
Fractional coordinates of all 4 atoms:
Hg: 0.250 0.250 0.250  0.01
Al: 0.750 0.750 0.750  0.01
Pa: 0.000 0.000 0.000  0.75
Tm: 0.500 0.500 0.500  0.07

formation enthalpy at 0 K = -23 kJ/mol of formula units
crystal system = cubic
space-group type = F-43m (216)